No. 1
This record from Alexandria describes a geometry-optimized CaAl2Br8 structure. The functional is PBE.

Results
polymorph energy (0 for the lowest one)	4.6	meV/atom
formation energy from raw total energies	-1458	kJ/mol of formula units

Unit cell a=8.392 b=8.392 c=6.640 alpha=96.41 beta=96.41 gamma=75.56
Positions (direct):
Ca (0.000, 0.000, 0.000)
Al (0.198, 0.198, 0.659)
Al (0.802, 0.802, 0.341)
Br (0.073, 0.712, 0.237)
Br (0.188, 0.188, 0.302)
Br (0.288, 0.927, 0.763)
Br (0.364, 0.364, 0.796)
Br (0.636, 0.636, 0.204)
Br (0.712, 0.073, 0.237)
Br (0.812, 0.812, 0.698)
Br (0.927, 0.288, 0.763)

No. 2
This record from Alexandria describes a geometry-optimized Li5Bi2Au4 structure. The functional is PBE.

Results
ΔE_f	-0.398	eV/atom

Unit cell a=5.802 b=5.802 c=7.969 alpha=115.35 beta=115.35 gamma=62.65
Positions (direct):
Li (0.000, 0.000, 0.000)
Li (0.109, 0.557, 0.321)
Li (0.443, 0.891, 0.679)
Li (0.557, 0.109, 0.321)
Li (0.891, 0.443, 0.679)
Bi (0.414, 0.414, 0.706)
Bi (0.586, 0.586, 0.294)
Au (0.071, 0.071, 0.363)
Au (0.259, 0.259, 0.978)
Au (0.741, 0.741, 0.022)
Au (0.929, 0.929, 0.637)

No. 3
This record from Alexandria describes a geometry-optimized Li2Re structure. The functional is PBE.

Results
ΔE_f	0.394	eV/atom
polymorph energy (0 for the lowest one)	199.4	meV/atom

Unit cell a=6.724 b=6.724 c=3.147 alpha=90.00 beta=90.00 gamma=139.73
Positions (direct):
Li (0.074, 0.926, 0.750)
Li (0.236, 0.764, 0.250)
Li (0.764, 0.236, 0.750)
Li (0.926, 0.074, 0.250)
Re (0.430, 0.570, 0.750)
Re (0.570, 0.430, 0.250)

No. 4
This record from Alexandria describes a geometry-optimized Pr3PaTe4 structure. The functional is PBE.

Results
formation energy from raw total energies	-931	kJ/mol of formula units

Unit cell a=7.767 b=7.767 c=7.767 alpha=131.83 beta=131.83 gamma=70.50
Positions (direct):
Pr (0.000, 0.000, 0.000)
Pr (0.250, 0.750, 0.500)
Pr (0.750, 0.250, 0.500)
Pa (0.500, 0.500, 0.000)
Te (0.000, 0.500, 0.500)
Te (0.255, 0.255, 0.000)
Te (0.500, 0.000, 0.500)
Te (0.745, 0.745, 0.000)

No. 5
This record from Alexandria describes a geometry-optimized Cs2KFeCu structure. The functional is PBE.

Results
ΔE_f	0.902	eV/atom

Unit cell a=6.763 b=6.763 c=6.308 alpha=90.00 beta=90.00 gamma=90.00
Positions (direct):
Cs (0.000, 0.500, 0.000)
Cs (0.500, 0.000, 0.000)
K (0.000, 0.000, 0.500)
Fe (0.500, 0.500, 0.500)
Cu (0.000, 0.000, 0.000)

No. 6
This record from Alexandria describes a geometry-optimized NaPmPtAu structure. The functional is PBE.

Results
ΔE_f	-0.637	eV/atom

Unit cell a=4.994 b=4.994 c=4.994 alpha=60.00 beta=60.00 gamma=60.00
Positions (direct):
Na (0.000, 0.000, 0.000)
Pm (0.500, 0.500, 0.500)
Pt (0.750, 0.750, 0.750)
Au (0.250, 0.250, 0.250)

no.,M_tot (μB/f.u.)
1,0.00
2,0.00
3,0.00
4,1.53
5,3.52
6,0.00